Density functional theory data (PBE) for an optimized crystal structure of CdReSb2.

Size of the total moment in μB/f.u.: 0.00
E_form (uncorrected) in eV/atom: 0.595

Structure (CIF):
```
data_CdReSb2
_cell_length_a 3.329
_cell_length_b 5.262
_cell_length_c 10.618
_cell_angle_alpha 90.00
_cell_angle_beta 90.00
_cell_angle_gamma 90.00
_space_group_name_H-M_alt 'C m m 2'
_space_group_IT_number 35
_space_group_name_Hall 'C 2 -2'
loop_
_atom_site_label
_atom_site_fract_x
_atom_site_fract_y
_atom_site_fract_z
_atom_site_occupancy
Cd1 0.000 0.000 0.000 1
Re1 0.000 0.500 0.219 1
Sb1 0.000 0.000 0.414 1
Sb2 0.000 0.500 0.749 1
```

---

Density functional theory data (PBE) for an optimized crystal structure of CdRe2Sb.

Size of the total moment in μB/f.u.: 0.00
Distance to the lowest polymorph of the same formula in eV per atom: 0.5666
E_form (uncorrected) in eV/atom: 0.828

Structure (CIF):
```
data_CdRe2Sb
_cell_length_a 3.005
_cell_length_b 4.470
_cell_length_c 5.661
_cell_angle_alpha 90.00
_cell_angle_beta 100.69
_cell_angle_gamma 90.00
_space_group_name_H-M_alt 'P 1 2/m 1'
_space_group_IT_number 10
_space_group_name_Hall '-P 2y'
loop_
_atom_site_label
_atom_site_fract_x
_atom_site_fract_y
_atom_site_fract_z
_atom_site_occupancy
Cd1 0.000 0.000 0.000 1
Re1 0.395 0.500 0.781 1
Sb1 0.500 0.000 0.500 1
```

---

Density functional theory data (PBE) for an optimized crystal structure of CdRe2Sb.

Size of the total moment in μB/f.u.: 0.00
Distance to the lowest polymorph of the same formula in eV per atom: 0.3293
E_form (uncorrected) in eV/atom: 0.591

Structure (CIF):
```
data_CdRe2Sb
_cell_length_a 2.979
_cell_length_b 4.966
_cell_length_c 10.781
_cell_angle_alpha 90.00
_cell_angle_beta 90.00
_cell_angle_gamma 90.00
_space_group_name_H-M_alt 'C m m 2'
_space_group_IT_number 35
_space_group_name_Hall 'C 2 -2'
loop_
_atom_site_label
_atom_site_fract_x
_atom_site_fract_y
_atom_site_fract_z
_atom_site_occupancy
Cd1 0.000 0.000 0.000 1
Re1 0.000 0.000 0.435 1
Re2 0.000 0.500 0.242 1
Sb1 0.000 0.500 0.669 1
```

---

Density functional theory data (PBE) for an optimized crystal structure of CdReSb2.

Size of the total moment in μB/f.u.: 0.00
E_form (uncorrected) in eV/atom: 0.255

Structure (CIF):
```
data_CdReSb2
_cell_length_a 3.255
_cell_length_b 3.265
_cell_length_c 8.797
_cell_angle_alpha 90.00
_cell_angle_beta 90.19
_cell_angle_gamma 90.00
_space_group_name_H-M_alt 'P 1 2/m 1'
_space_group_IT_number 10
_space_group_name_Hall '-P 2y'
loop_
_atom_site_label
_atom_site_fract_x
_atom_site_fract_y
_atom_site_fract_z
_atom_site_occupancy
Cd1 0.000 0.000 0.000 1
Re1 0.000 0.000 0.500 1
Sb1 0.498 0.500 0.313 1
```

---

Density functional theory data (PBE) for an optimized crystal structure of CdReSb2.

Size of the total moment in μB/f.u.: 0.00
E_form (uncorrected) in eV/atom: 0.436

Structure (CIF):
```
data_CdReSb2
_cell_length_a 3.248
_cell_length_b 4.197
_cell_length_c 13.811
_cell_angle_alpha 90.00
_cell_angle_beta 90.00
_cell_angle_gamma 90.00
_space_group_name_H-M_alt 'I m m 2'
_space_group_IT_number 44
_space_group_name_Hall 'I 2 -2'
loop_
_atom_site_label
_atom_site_fract_x
_atom_site_fract_y
_atom_site_fract_z
_atom_site_occupancy
Cd1 0.000 0.000 0.000 1
Re1 0.000 0.500 0.716 1
Sb1 0.000 0.000 0.371 1
Sb2 0.000 0.500 0.162 1
```

---

Density functional theory data (PBE) for an optimized crystal structure of CdRe2Sb.

Size of the total moment in μB/f.u.: 0.00
Distance to the lowest polymorph of the same formula in eV per atom: 0.6302
E_form (uncorrected) in eV/atom: 0.892

Structure (CIF):
```
data_CdRe2Sb
_cell_length_a 6.613
_cell_length_b 6.613
_cell_length_c 6.613
_cell_angle_alpha 90.00
_cell_angle_beta 90.00
_cell_angle_gamma 90.00
_space_group_name_H-M_alt 'F -4 3 m'
_space_group_IT_number 216
_space_group_name_Hall 'F -4 2 3'
loop_
_atom_site_label
_atom_site_fract_x
_atom_site_fract_y
_atom_site_fract_z
_atom_site_occupancy
Cd1 0.000 0.000 0.000 1
Re1 0.000 0.000 0.500 1
Re2 0.250 0.250 0.750 1
Sb1 0.250 0.250 0.250 1
```

---

Density functional theory data (PBE) for an optimized crystal structure of CdReSb2.

Size of the total moment in μB/f.u.: 0.02
E_form (uncorrected) in eV/atom: 0.866

Structure (CIF):
```
data_CdReSb2
_cell_length_a 3.675
_cell_length_b 4.565
_cell_length_c 5.094
_cell_angle_alpha 90.00
_cell_angle_beta 90.00
_cell_angle_gamma 90.00
_space_group_name_H-M_alt 'P m m m'
_space_group_IT_number 47
_space_group_name_Hall '-P 2 2'
loop_
_atom_site_label
_atom_site_fract_x
_atom_site_fract_y
_atom_site_fract_z
_atom_site_occupancy
Cd1 0.000 0.000 0.000 1
Re1 0.500 0.000 0.500 1
Sb1 0.000 0.500 0.500 1
Sb2 0.500 0.500 0.000 1
```

---

Density functional theory data (PBE) for an optimized crystal structure of CdReSb2.

Size of the total moment in μB/f.u.: 0.12
E_form (uncorrected) in eV/atom: 0.522

Structure (CIF):
```
data_CdReSb2
_cell_length_a 3.2431
_cell_length_b 3.2431
_cell_length_c 29.4744
_cell_angle_alpha 90.00
_cell_angle_beta 90.00
_cell_angle_gamma 120.00
_space_group_name_H-M_alt 'R 3 m'
_space_group_IT_number 160
_space_group_name_Hall 'R 3 -2"'
loop_
_atom_site_label
_atom_site_fract_x
_atom_site_fract_y
_atom_site_fract_z
_atom_site_occupancy
Cd1 0.0000 0.0000 0.0000 1
Re1 0.0000 0.0000 0.2570 1
Sb1 0.0000 0.0000 0.5247 1
Sb2 0.0000 0.0000 0.7588 1
```

---

Among the records above, which one has the highest E_form (uncorrected)? number 6

---

The highest size of the total moment belongs to which entry? number 8

---

Look up the E_form (uncorrected) of the third one. 0.591 eV/atom

---

The lowest E_form (uncorrected) belongs to which entry? number 4